VASP calculation (GGA+U) on a relaxed MnSeBr2F crystal.

```
MnSeBr2F
1.0
-1.4750 -4.6954 1.2583
3.7443 -1.9360 -2.8350
3.2116 0.1080 4.1679
Se Mn Br F
1 1 2 1
direct
0.0000 0.0000 0.5000 Se
0.0000 0.0000 0.0000 Mn
0.5000 0.0000 0.0000 Br
0.0000 0.5000 0.0000 Br
0.5000 0.5000 0.5000 F
```

- ΔE to the lowest computed polymorph: 0.00 kJ/mol of atoms
- Space group: No. 123